# 1
# GGA-PBE KMoRh2, optimized geometry
data_KMoRh2
_symmetry_space_group_name_H-M 'P 1 2/m 1'
_symmetry_Int_Tables_number 10
_cell_length_a 5.098
_cell_length_b 2.720
_cell_length_c 5.416
_cell_angle_alpha 90.00
_cell_angle_beta 110.04
_cell_angle_gamma 90.00
loop_
_symmetry_equiv_pos_as_xyz
'x,y,z'
'-x,-y,-z'
'-x,y,-z'
'x,-y,z'
loop_
_atom_site_label
_atom_site_fract_x
_atom_site_fract_y
_atom_site_fract_z
K1 0.000 0.000 0.000
Mo1 0.500 0.500 0.500
Rh1 0.000 0.000 0.500
Rh2 0.500 0.500 0.000
# - Formation enthalpy at 0 K: 0.969 eV/atom
# - Offset from the most stable computed form: 2.83 eV per formula unit



# 2
# GGA-PBE KMoRh2, optimized geometry
data_KMoRh2
_symmetry_space_group_name_H-M 'P 4 m m'
_symmetry_Int_Tables_number 99
_cell_length_a 3.343
_cell_length_b 3.343
_cell_length_c 7.794
_cell_angle_alpha 90.00
_cell_angle_beta 90.00
_cell_angle_gamma 90.00
loop_
_symmetry_equiv_pos_as_xyz
'x,y,z'
'-y,x,z'
'-x,-y,z'
'y,-x,z'
'-x,y,z'
'y,x,z'
'x,-y,z'
'-y,-x,z'
loop_
_atom_site_label
_atom_site_fract_x
_atom_site_fract_y
_atom_site_fract_z
K1 0.000 0.000 0.000
Mo1 0.500 0.500 0.380
Rh1 0.000 0.000 0.499
Rh2 0.500 0.500 0.691
# - Formation enthalpy at 0 K: 0.677 eV/atom
# - Offset from the most stable computed form: 1.66 eV per formula unit



# 3
# GGA-PBE K3MoRh3S8, optimized geometry
data_K3MoRh3S8
_symmetry_space_group_name_H-M 'R -3 m'
_symmetry_Int_Tables_number 166
_symmetry_space_group_name_Hall '-R 3 2"'
_cell_length_a 7.2849
_cell_length_b 7.2849
_cell_length_c 21.2597
_cell_angle_alpha 90.00
_cell_angle_beta 90.00
_cell_angle_gamma 120.00
loop_
_atom_site_label
_atom_site_fract_x
_atom_site_fract_y
_atom_site_fract_z
K1 0.0000 0.5000 0.0000
Mo1 0.0000 0.0000 0.5000
Rh1 0.0000 0.5000 0.5000
S1 0.0000 0.0000 0.2216
S2 0.0078 0.5039 0.7749
# - Formation energy (no corrections): -0.683 eV per atom



# 4
# GGA-PBE KMoRhS3, optimized geometry
data_KMoRhS3
_symmetry_space_group_name_H-M 'P 1 21/m 1'
_symmetry_Int_Tables_number 11
_cell_length_a 7.973
_cell_length_b 3.668
_cell_length_c 9.345
_cell_angle_alpha 90.00
_cell_angle_beta 113.11
_cell_angle_gamma 90.00
loop_
_symmetry_equiv_pos_as_xyz
'x,y,z'
'-x,-y,-z'
'-x,y+1/2,-z'
'x,-y+1/2,z'
loop_
_atom_site_label
_atom_site_fract_x
_atom_site_fract_y
_atom_site_fract_z
K1 0.249 0.250 0.233
Mo1 0.209 0.750 0.666
Rh1 0.410 0.250 0.879
S1 0.031 0.750 0.374
S2 0.264 0.750 0.936
S3 0.387 0.250 0.622
# - Formation energy (no corrections): -0.707 eV per atom



# 5
# GGA-PBE K2MoRh2S6, optimized geometry
data_K2MoRh2S6
_symmetry_space_group_name_H-M 'C 1 2/m 1'
_symmetry_Int_Tables_number 12
_cell_length_a 6.380
_cell_length_b 10.561
_cell_length_c 7.510
_cell_angle_alpha 90.00
_cell_angle_beta 104.87
_cell_angle_gamma 90.00
loop_
_symmetry_equiv_pos_as_xyz
'x,y,z'
'-x,-y,-z'
'-x,y,-z'
'x,-y,z'
'x+1/2,y+1/2,z'
'-x+1/2,-y+1/2,-z'
'-x+1/2,y+1/2,-z'
'x+1/2,-y+1/2,z'
loop_
_atom_site_label
_atom_site_fract_x
_atom_site_fract_y
_atom_site_fract_z
K1 0.000 0.167 0.000
Mo1 0.000 0.000 0.500
Rh1 0.000 0.329 0.500
S1 0.211 0.500 0.670
S2 0.233 0.167 0.676
# - Formation energy (no corrections): -0.668 eV per atom



# 6
# GGA-PBE K3MoRh3Se8, optimized geometry
data_K3MoRh3Se8
_symmetry_space_group_name_H-M 'R -3 m'
_symmetry_Int_Tables_number 166
_symmetry_space_group_name_Hall '-R 3 2"'
_cell_length_a 7.6444
_cell_length_b 7.6444
_cell_length_c 22.2083
_cell_angle_alpha 90.00
_cell_angle_beta 90.00
_cell_angle_gamma 120.00
loop_
_atom_site_label
_atom_site_fract_x
_atom_site_fract_y
_atom_site_fract_z
K1 0.0000 0.5000 0.0000
Mo1 0.0000 0.0000 0.5000
Rh1 0.0000 0.5000 0.5000
Se1 0.0000 0.0000 0.2222
Se2 0.0089 0.5044 0.7742
# - Formation energy (no corrections): -0.616 eV per atom



# 7
# GGA-PBE KSrMoRh2, optimized geometry
data_KSrMoRh2
_symmetry_space_group_name_H-M 'P 4/m m m'
_symmetry_Int_Tables_number 123
_symmetry_space_group_name_Hall '-P 4 2'
_cell_length_a 5.167
_cell_length_b 5.167
_cell_length_c 5.791
_cell_angle_alpha 90.00
_cell_angle_beta 90.00
_cell_angle_gamma 90.00
loop_
_atom_site_label
_atom_site_fract_x
_atom_site_fract_y
_atom_site_fract_z
K1 0.000 0.000 0.000
Sr1 0.500 0.500 0.500
Mo1 0.500 0.500 0.000
Rh1 0.000 0.500 0.500
# - Formation enthalpy at 0 K: 1.853 eV/atom



# 8
# GGA-PBE KZrMoRh2, optimized geometry
data_KZrMoRh2
_symmetry_space_group_name_H-M 'P 4/m m m'
_symmetry_Int_Tables_number 123
_symmetry_space_group_name_Hall '-P 4 2'
_cell_length_a 4.754
_cell_length_b 4.754
_cell_length_c 4.921
_cell_angle_alpha 90.00
_cell_angle_beta 90.00
_cell_angle_gamma 90.00
loop_
_atom_site_label
_atom_site_fract_x
_atom_site_fract_y
_atom_site_fract_z
K1 0.000 0.000 0.000
Zr1 0.500 0.500 0.000
Mo1 0.000 0.000 0.500
Rh1 0.000 0.500 0.500
# - Formation enthalpy at 0 K: 1.319 eV/atom



# 9
# GGA-PBE K2MoRu, optimized geometry
data_K2MoRu
_symmetry_space_group_name_H-M 'F -4 3 m'
_symmetry_Int_Tables_number 216
_symmetry_space_group_name_Hall 'F -4 2 3'
_cell_length_a 6.986
_cell_length_b 6.986
_cell_length_c 6.986
_cell_angle_alpha 90.00
_cell_angle_beta 90.00
_cell_angle_gamma 90.00
loop_
_atom_site_label
_atom_site_fract_x
_atom_site_fract_y
_atom_site_fract_z
K1 0.000 0.000 0.000
K2 0.250 0.250 0.250
Mo1 0.000 0.000 0.500
Ru1 0.250 0.250 0.750
# - Formation enthalpy at 0 K: 1.640 eV/atom
# - Offset from the most stable computed form: 3.64 eV per formula unit



# 10
# GGA-PBE KMoRu2, optimized geometry
data_KMoRu2
_symmetry_space_group_name_H-M 'C m m m'
_symmetry_Int_Tables_number 65
_symmetry_space_group_name_Hall '-C 2 2'
_cell_length_a 3.252
_cell_length_b 4.682
_cell_length_c 9.619
_cell_angle_alpha 90.00
_cell_angle_beta 90.00
_cell_angle_gamma 90.00
loop_
_atom_site_label
_atom_site_fract_x
_atom_site_fract_y
_atom_site_fract_z
K1 0.000 0.000 0.000
Mo1 0.000 0.000 0.500
Ru1 0.000 0.500 0.298
# - Formation enthalpy at 0 K: 0.711 eV/atom
# - Offset from the most stable computed form: 0.39 eV per formula unit



# 11
# GGA-PBE K2MoRu, optimized geometry
data_K2MoRu
_symmetry_space_group_name_H-M 'C 1 m 1'
_symmetry_Int_Tables_number 8
_cell_length_a 7.111
_cell_length_b 4.104
_cell_length_c 10.050
_cell_angle_alpha 90.00
_cell_angle_beta 103.44
_cell_angle_gamma 90.00
loop_
_symmetry_equiv_pos_as_xyz
'x,y,z'
'x,-y,z'
'x+1/2,y+1/2,z'
'x+1/2,-y+1/2,z'
loop_
_atom_site_label
_atom_site_fract_x
_atom_site_fract_y
_atom_site_fract_z
K1 0.000 0.000 0.000
K2 0.186 0.000 0.563
Mo1 0.430 0.000 0.292
Ru1 0.254 0.500 0.266
# - Formation enthalpy at 0 K: 0.774 eV/atom
# - Offset from the most stable computed form: 0.17 eV per formula unit



# 12
# GGA-PBE KMoRu2, optimized geometry
data_KMoRu2
_symmetry_space_group_name_H-M 'R -3 m'
_symmetry_Int_Tables_number 166
_symmetry_space_group_name_Hall '-R 3 2"'
_cell_length_a 2.8171
_cell_length_b 2.8171
_cell_length_c 30.3362
_cell_angle_alpha 90.00
_cell_angle_beta 90.00
_cell_angle_gamma 120.00
loop_
_atom_site_label
_atom_site_fract_x
_atom_site_fract_y
_atom_site_fract_z
K1 0.0000 0.0000 0.0000
Mo1 0.0000 0.0000 0.5000
Ru1 0.0000 0.0000 0.2374
# - Formation enthalpy at 0 K: 0.613 eV/atom
# - Offset from the most stable computed form: 0.00 eV per formula unit



Number 1: V 71 Å³ per cell, mass density 8.02 Mg/m³. Number 2: V 87 Å³ per cell, mass density 6.50 Mg/m³. Number 3: V 977 Å³ per cell, mass density 3.97 Mg/m³. Number 4: V 251 Å³ per cell, mass density 4.42 Mg/m³. Number 5: V 489 Å³ per cell, mass density 3.89 Mg/m³. Number 6: V 1124 Å³ per cell, mass density 5.11 Mg/m³. Number 7: V 155 Å³ per cell, mass density 4.60 Mg/m³. Number 8: V 111 Å³ per cell, mass density 6.45 Mg/m³. Number 9: V 341 Å³ per cell, mass density 5.36 Mg/m³. Number 10: V 146 Å³ per cell, mass density 7.65 Mg/m³. Number 11: V 285 Å³ per cell, mass density 3.20 Mg/m³. Number 12: V 208 Å³ per cell, mass density 8.06 Mg/m³.